[1]
Density functional theory data (GGA-PBE) for a relaxed structure of BaHBr3.

Cell: 6.4394 6.4394 6.4394 Å, 90.00 90.00 90.00°
With the nearest neighbours (Å) after each atom.
Space group Pm-3m (No. 221)
Unique sites:
Ba (0.0000, 0.0000, 0.0000) x1  6 Br 3.22
H (0.5000, 0.5000, 0.5000) x1  12 Br 4.55
Br (0.0000, 0.0000, 0.5000) x3  2 Ba 3.22

Values from the calculation:
The spin magnetization is 0.400 μB/atom. As for the distance to the lowest polymorph of the same formula: 0.800 eV/atom.

=====

[2]
Density functional theory data (GGA-PBE) for a relaxed structure of Cu4AgO3.

Cell: 3.7982 3.7982 6.7327 Å, 90.00 90.00 90.00°
With the nearest neighbours (Å) after each atom.
Space group P4/mmm (No. 123)
Unique sites:
Cu (0.0000, 0.5000, 0.2070) x4  2 O 1.91
Ag (0.0000, 0.0000, 0.5000) x1  8 Cu 2.74
O (0.0000, 0.0000, 0.0000) x1  8 Cu 2.36
O (0.5000, 0.5000, 0.2309) x2  4 Cu 1.91

Values from the calculation:
The spin magnetization is 0.077 μB/atom. For the formation energy from raw total energies, the calculation gives -0.20 eV/atom.

=====

[3]
Density functional theory data (GGA-PBE) for a relaxed structure of Ce3Dy2NpN6.

Cell: 6.0695 10.5064 6.1138 Å, 90.00 109.35 90.00°
With the nearest neighbours (Å) after each atom.
Space group C2/m (No. 12)
Unique sites:
Ce (0.0000, 0.0000, 0.0000) x2  6 N 2.50-2.60
Ce (0.0000, 0.3320, 0.0000) x4  6 N 2.50-2.59
Dy (0.0000, 0.1664, 0.5000) x4  6 N 2.47
Np (0.0000, 0.5000, 0.5000) x2  6 N 2.36-2.37
N (0.2381, 0.3403, 0.7351) x8  1 Np 2.36, 2 Dy 2.47, 3 Ce 2.50-2.59
N (0.2406, 0.5000, 0.2629) x4  1 Np 2.37, 2 Dy 2.47, 3 Ce 2.51-2.60

Values from the calculation:
The spin magnetization is 0.330 μB/atom. For the formation energy from raw total energies, the calculation gives -1.49 eV/atom.